Record 1
DFT (GGA-PBE) results for NbBr after structural relaxation.

The structure in CIF format:
```
data_NbBr
_symmetry_space_group_name_H-M 'F m -3 m'
_symmetry_Int_Tables_number 225
_symmetry_space_group_name_Hall '-F 4 2 3'
_cell_length_a 5.422
_cell_length_b 5.422
_cell_length_c 5.422
_cell_angle_alpha 90.00
_cell_angle_beta 90.00
_cell_angle_gamma 90.00
loop_
_atom_site_label
_atom_site_fract_x
_atom_site_fract_y
_atom_site_fract_z
Nb1 0.000 0.000 0.000
Br1 0.000 0.000 0.500
```

Summary:
- Calculated volume: 159 Å³ per cell
- Mass density: 7.2 g/cm3

Record 2
DFT (GGA-PBE) results for LiErB after structural relaxation.

The structure in CIF format:
```
data_LiErB
_symmetry_space_group_name_H-M 'F -4 3 m'
_symmetry_Int_Tables_number 216
_symmetry_space_group_name_Hall 'F -4 2 3'
_cell_length_a 5.925
_cell_length_b 5.925
_cell_length_c 5.925
_cell_angle_alpha 90.00
_cell_angle_beta 90.00
_cell_angle_gamma 90.00
loop_
_atom_site_label
_atom_site_fract_x
_atom_site_fract_y
_atom_site_fract_z
Li1 0.000 0.000 0.000
Er1 0.000 0.000 0.500
B1 0.250 0.250 0.750
```

Summary:
- Calculated volume: 208 Å³ per cell
- Mass density: 5.9 g/cm3
- Relative energy among the computed polymorphs: 0.00 eV per formula unit

Record 3
DFT (GGA-PBE) results for HfOs2Au after structural relaxation.

The structure in CIF format:
```
data_HfOs2Au
_symmetry_space_group_name_H-M 'F -4 3 m'
_symmetry_Int_Tables_number 216
_symmetry_space_group_name_Hall 'F -4 2 3'
_cell_length_a 6.436
_cell_length_b 6.436
_cell_length_c 6.436
_cell_angle_alpha 90.00
_cell_angle_beta 90.00
_cell_angle_gamma 90.00
loop_
_atom_site_label
_atom_site_fract_x
_atom_site_fract_y
_atom_site_fract_z
Hf1 0.000 0.000 0.000
Os1 0.000 0.000 0.500
Os2 0.250 0.250 0.250
Au1 0.250 0.250 0.750
```

Summary:
- Calculated volume: 267 Å³ per cell
- Energy of formation: 100 kJ/mol of formula units
- Mass density: 18.8 g/cm3

Record 4
DFT (GGA-PBE) results for BaIn3Ag after structural relaxation.

The structure in CIF format:
```
data_BaIn3Ag
_symmetry_space_group_name_H-M 'C m c m'
_symmetry_Int_Tables_number 63
_symmetry_space_group_name_Hall '-C 2c 2'
_cell_length_a 6.890
_cell_length_b 12.336
_cell_length_c 6.798
_cell_angle_alpha 90.00
_cell_angle_beta 90.00
_cell_angle_gamma 90.00
loop_
_atom_site_label
_atom_site_fract_x
_atom_site_fract_y
_atom_site_fract_z
Ba1 0.000 0.249 0.250
In1 0.000 0.355 0.750
In2 0.246 0.000 0.000
Ag1 0.000 0.129 0.750
```

Summary:
- Calculated volume: 578 Å³ per cell
- Mass density: 6.8 g/cm3

Record 5
DFT (GGA-PBE) results for HoTmTeO2 after structural relaxation.

The structure in CIF format:
```
data_HoTmTeO2
_symmetry_space_group_name_H-M 'I 4 m m'
_symmetry_Int_Tables_number 107
_symmetry_space_group_name_Hall 'I 4 -2'
_cell_length_a 3.876
_cell_length_b 3.876
_cell_length_c 12.315
_cell_angle_alpha 90.00
_cell_angle_beta 90.00
_cell_angle_gamma 90.00
loop_
_atom_site_label
_atom_site_fract_x
_atom_site_fract_y
_atom_site_fract_z
Ho1 0.000 0.000 0.000
Tm1 0.000 0.000 0.674
Te1 0.000 0.000 0.337
O1 0.000 0.500 0.089
```

Summary:
- Calculated volume: 185 Å³ per cell
- Mass density: 8.9 g/cm3
- Relative energy among the computed polymorphs: 0.00 eV per formula unit

Record 6
DFT (GGA-PBE) results for ErS2 after structural relaxation.

The structure in CIF format:
```
data_ErS2
_symmetry_space_group_name_H-M 'C 1 2/m 1'
_symmetry_Int_Tables_number 12
_cell_length_a 8.756
_cell_length_b 4.277
_cell_length_c 7.198
_cell_angle_alpha 90.00
_cell_angle_beta 95.44
_cell_angle_gamma 90.00
loop_
_symmetry_equiv_pos_as_xyz
'x,y,z'
'-x,-y,-z'
'-x,y,-z'
'x,-y,z'
'x+1/2,y+1/2,z'
'-x+1/2,-y+1/2,-z'
'-x+1/2,y+1/2,-z'
'x+1/2,-y+1/2,z'
loop_
_atom_site_label
_atom_site_fract_x
_atom_site_fract_y
_atom_site_fract_z
Er1 0.177 0.000 0.221
S1 0.108 0.500 0.453
S2 0.137 0.000 0.844
```

Summary:
- Calculated volume: 268 Å³ per cell
- Mass density: 5.7 g/cm3

Number 1: VASP energy -4.83 eV per atom. Number 2: VASP energy -4.21 eV per atom. Number 3: VASP energy -8.66 eV per atom. Number 4: VASP energy -2.95 eV per atom. Number 5: VASP energy -7.40 eV per atom. Number 6: VASP energy -5.99 eV per atom.